DFT (PBE) results for BeSeCl2 after structural relaxation.

Properties
The uncorrected formation energy is 744 meV per atom. For the total energy, the calculation gives -1.982 eV/atom. The density of states at the Fermi level comes out at 0.97 states/eV/atom. Its energy above the most stable polymorph in this dataset is 1341 meV per atom.

a b c (Å): 5.0998 5.0998 5.0998
angles (deg): 130.23 130.23 73.04
Last column: nearest neighbours and their distance in Å.
Element x y z (fractional)
Be 0.7500 0.2500 0.5000  8 Cl 2.97, 4 Se 3.03
Se 0.2500 0.7500 0.5000  8 Cl 2.97, 4 Be 3.03
Cl 0.0000 0.0000 0.0000  4 Se 2.97, 4 Be 2.97, 4 Cl 3.03
Cl 0.5000 0.5000 0.0000  4 Se 2.97, 4 Be 2.97, 4 Cl 3.03

=====

DFT (PBE) results for InTeOsN2 after structural relaxation.

Properties
The uncorrected formation energy is 694 meV per atom. For the total energy, the calculation gives -6.058 eV/atom. The density of states at the Fermi level comes out at 0.67 states/eV/atom. Its energy above the most stable polymorph in this dataset is 0 meV per atom.

a b c (Å): 3.9576 3.9576 5.7186
angles (deg): 90.00 90.00 90.00
Last column: nearest neighbours and their distance in Å.
Element x y z (fractional)
N 0.0000 0.5000 0.0000  2 Os 1.98
N 0.5000 0.0000 0.0000  2 Os 1.98
Te 0.0000 0.0000 0.5000  4 In 2.80, 2 Os 2.86
Os 0.0000 0.0000 0.0000  4 N 1.98
In 0.5000 0.5000 0.5000  4 Te 2.80